! GGA-PBE ZnReRh, optimized geometry; values from VASP
&SYSTEM
  ibrav = 0, nat = 3, ntyp = 3
/
ATOMIC_SPECIES
Zn 65.41 Zn.upf
Re 186.21 Re.upf
Rh 102.91 Rh.upf
CELL_PARAMETERS angstrom
1.3772 0.7951 6.5941
-1.3772 0.7951 6.5941
0.0000 -1.5902 6.5941
ATOMIC_POSITIONS angstrom
Zn 0.0000 0.0000 0.0000
Re 0.0000 0.0000 15.4678
Rh 0.0000 0.0000 11.0036
! Energy above the most stable polymorph in this dataset (meV per atom): 120
! SG: R3m (160)
! Formation enthalpy at 0 K (eV per atom): -0.05